The following is a DFT calculation (PBEsol) of a relaxed structure of KBeF2.

Its total energy is -0.31014 Ry per atom. The polymorph energy (0 for the lowest one) is 16.4 kJ per mole of atoms. For the uncorrected formation energy, the calculation gives -1973 meV per atom.

abc: 5.625 5.625 5.625
angles: 60.00 60.00 60.00
Fractional coordinates of all 8 atoms:
K: 0.125 0.125 0.125
K: 0.875 0.875 0.875
Be: 0.375 0.375 0.375
Be: 0.625 0.625 0.625
F: 0.000 0.500 0.500
F: 0.500 0.000 0.500
F: 0.500 0.500 0.000
F: 0.500 0.500 0.500